# 1
This record from Alexandria describes a geometry-optimized LaHoSi2Pt5 structure. The functional is PBE.

Cell lengths 4.2710, 4.2710, 8.9714 Å; angles 90.00, 90.00, 90.00 degrees
Last column: nearest neighbours and their distance in Å.
Sites, in units of the cell vectors:
Si1 0.5000 0.5000 0.8687  1 Si 2.36, 4 Pt 2.41
Ho1 0.0000 0.0000 0.0000  8 Pt 3.14, 8 Si 3.24
Si2 0.5000 0.5000 0.1313  1 Si 2.36, 4 Pt 2.41
Pt1 0.0000 0.5000 0.2559  2 Si 2.41
Pt2 0.5000 0.0000 0.7441  2 Si 2.41
Pt3 0.5000 0.0000 0.2559  2 Si 2.41
Pt4 0.0000 0.5000 0.7441  2 Si 2.41
Pt5 0.5000 0.5000 0.5000  4 La 3.02, 8 Pt 3.06, 2 Si 3.31
La1 0.0000 0.0000 0.5000  12 Pt 3.02-3.06

Summary:
Space-group type: P4/mmm
DFT total energy: -59.85 eV per cell
Density: 13.55 Mg/m³
Energy relative to the elements, uncorrected: -1.0325 eV per atom
Size of the total moment: 0.000 μB/f.u.

=====

# 2
This record from Alexandria describes a geometry-optimized La2HoSn3Pt4 structure. The functional is PBE.

Cell lengths 4.6524, 4.6524, 11.0211 Å; angles 90.00, 90.00, 90.00 degrees
Last column: nearest neighbours and their distance in Å.
Sites, in units of the cell vectors:
Sn1 0.5000 0.0000 0.8764  5 Pt 2.61-2.70
Pt1 0.5000 0.5000 0.0000  4 Sn 2.70
Sn2 0.0000 0.0000 0.5000  4 Pt 2.79
La1 0.5000 0.0000 0.2241  8 Pt 3.39-3.62, 4 Sn 3.47
La2 0.0000 0.5000 0.7759  8 Pt 3.39-3.62, 4 Sn 3.47
Pt2 0.0000 0.0000 0.0000  4 Sn 2.70
Pt3 0.5000 0.0000 0.6396  3 Sn 2.61-2.79, 2 Ho 2.79
Ho1 0.5000 0.5000 0.5000  4 Pt 2.79
Sn3 0.0000 0.5000 0.1236  5 Pt 2.61-2.70
Pt4 0.0000 0.5000 0.3604  3 Sn 2.61-2.79, 2 Ho 2.79

Summary:
Space-group type: P-4m2
DFT total energy: -60.27 eV per cell
Density: 10.99 Mg/m³
Calculated formation energy: -966 meV per atom
Size of the total moment: 0.000 μB/f.u.